Entry 1:
# CuO, PBEsol geometry, DFT meta-GGA SCAN
# Density (kg/m3): 6227
# Total magnetic moment (μB/f.u.): 0.98
# Crystal system: orthorhombic
# Formation energy (no corrections) (meV/atom): -794
# DFT total energy (eV/atom): -11.510
# Fermi-level density of states (states/eV/atom): 0.09
data_CuO
_chemical_formula_sum 'Cu4 O4'
_cell_length_a 4.061
_cell_length_b 4.102
_cell_length_c 5.093
_cell_angle_alpha 90.00
_cell_angle_beta 90.00
_cell_angle_gamma 90.00
_symmetry_space_group_name_H-M 'C c c m'
_symmetry_Int_Tables_number 66
_symmetry_space_group_name_Hall '-C 2 2c'
loop_
_atom_site_label
_atom_site_type_symbol
_atom_site_fract_x
_atom_site_fract_y
_atom_site_fract_z
Cu1 Cu 0.250 0.250 0.000
O1 O 0.000 0.000 0.250

=====

Entry 2:
# UB2Ru3, PBEsol geometry, DFT meta-GGA SCAN
# Density (kg/m3): 12408
# Total magnetic moment (μB/f.u.): 1.49
# Crystal system: hexagonal
# Formation energy from the elements (meV/atom): -472.5
# DFT total energy (eV/atom): -37.617
# Fermi-level density of states (states/eV/atom): 0.60
data_UB2Ru3
_chemical_formula_sum 'U1 B2 Ru3'
_cell_length_a 5.4426
_cell_length_b 5.4426
_cell_length_c 2.9363
_cell_angle_alpha 90.00
_cell_angle_beta 90.00
_cell_angle_gamma 120.00
_symmetry_space_group_name_H-M 'P 6/m m m'
_symmetry_Int_Tables_number 191
_symmetry_space_group_name_Hall '-P 6 2'
loop_
_atom_site_label
_atom_site_type_symbol
_atom_site_fract_x
_atom_site_fract_y
_atom_site_fract_z
U1 U 0.0000 0.0000 0.0000
B1 B 0.3333 0.6667 0.0000
Ru1 Ru 0.0000 0.5000 0.5000

=====

Entry 3:
# FeMoRu2, PBEsol geometry, DFT meta-GGA SCAN
# Density (kg/m3): 11129
# Total magnetic moment (μB/f.u.): 2.45
# Crystal system: orthorhombic
# Formation energy from the elements (meV/atom): 108.8
# DFT total energy (eV/atom): -30.558
# Fermi-level density of states (states/eV/atom): 1.03
data_FeMoRu2
_chemical_formula_sum 'Fe1 Mo1 Ru2'
_cell_length_a 2.663
_cell_length_b 3.702
_cell_length_c 5.357
_cell_angle_alpha 90.00
_cell_angle_beta 90.00
_cell_angle_gamma 90.00
_symmetry_space_group_name_H-M 'P m m m'
_symmetry_Int_Tables_number 47
_symmetry_space_group_name_Hall '-P 2 2'
loop_
_atom_site_label
_atom_site_type_symbol
_atom_site_fract_x
_atom_site_fract_y
_atom_site_fract_z
Fe1 Fe 0.000 0.000 0.000
Mo1 Mo 0.000 0.000 0.500
Ru1 Ru 0.500 0.500 0.235

=====

Entry 4:
# YScPt, PBEsol geometry, DFT meta-GGA SCAN
# Density (kg/m3): 8208
# Total magnetic moment (μB/f.u.): 0.03
# Crystal system: tetragonal
# Formation energy from the elements (meV/atom): -964.7
# DFT total energy (eV/atom): -38.389
# Fermi-level density of states (states/eV/atom): 0.87
data_YScPt
_chemical_formula_sum 'Y2 Sc2 Pt2'
_cell_length_a 3.376
_cell_length_b 3.376
_cell_length_c 11.678
_cell_angle_alpha 90.00
_cell_angle_beta 90.00
_cell_angle_gamma 90.00
_symmetry_space_group_name_H-M 'I 4 m m'
_symmetry_Int_Tables_number 107
_symmetry_space_group_name_Hall 'I 4 -2'
loop_
_atom_site_label
_atom_site_type_symbol
_atom_site_fract_x
_atom_site_fract_y
_atom_site_fract_z
Y1 Y 0.000 0.000 0.000
Sc1 Sc 0.000 0.000 0.725
Pt1 Pt 0.000 0.000 0.343

=====

Entry 5:
# BaMgCd3, PBEsol geometry, DFT meta-GGA SCAN
# Density (kg/m3): 3323
# Total magnetic moment (μB/f.u.): 0.00
# Crystal system: cubic
# Formation energy from the elements (meV/atom): 782.3
# DFT total energy (eV/atom): -26.371
# Fermi-level density of states (states/eV/atom): 0.86
data_BaMgCd3
_chemical_formula_sum 'Ba1 Mg1 Cd3'
_cell_length_a 6.294
_cell_length_b 6.294
_cell_length_c 6.294
_cell_angle_alpha 90.00
_cell_angle_beta 90.00
_cell_angle_gamma 90.00
_symmetry_space_group_name_H-M 'P m -3 m'
_symmetry_Int_Tables_number 221
_symmetry_space_group_name_Hall '-P 4 2 3'
loop_
_atom_site_label
_atom_site_type_symbol
_atom_site_fract_x
_atom_site_fract_y
_atom_site_fract_z
Ba1 Ba 0.000 0.000 0.000
Mg1 Mg 0.500 0.500 0.500
Cd1 Cd 0.000 0.000 0.500

=====

Entry 6:
# AgP2Se, PBEsol geometry, DFT meta-GGA SCAN
# Density (kg/m3): 5522
# Total magnetic moment (μB/f.u.): 0.00
# Crystal system: trigonal
# Formation energy (no corrections) (meV/atom): 215
# DFT total energy (eV/atom): -17.846
# Fermi-level density of states (states/eV/atom): 0.38
data_AgP2Se
_chemical_formula_sum 'Ag3 P6 Se3'
_cell_length_a 3.1935
_cell_length_b 3.1935
_cell_length_c 25.4103
_cell_angle_alpha 90.00
_cell_angle_beta 90.00
_cell_angle_gamma 120.00
_symmetry_space_group_name_H-M 'R 3 m'
_symmetry_Int_Tables_number 160
_symmetry_space_group_name_Hall 'R 3 -2"'
loop_
_atom_site_label
_atom_site_type_symbol
_atom_site_fract_x
_atom_site_fract_y
_atom_site_fract_z
Ag1 Ag 0.0000 0.0000 0.0000
P1 P 0.0000 0.0000 0.2521
P2 P 0.0000 0.0000 0.5348
Se1 Se 0.0000 0.0000 0.7456

=====

Entry 7:
# ReTeW, PBEsol geometry, DFT meta-GGA SCAN
# Density (kg/m3): 16266
# Total magnetic moment (μB/f.u.): 0.00
# Crystal system: hexagonal
# Formation energy (no corrections) (meV/atom): 840
# DFT total energy (eV/atom): -58.506
# Fermi-level density of states (states/eV/atom): 0.71
data_ReTeW
_chemical_formula_sum 'Re1 Te1 W1'
_cell_length_a 4.4448
_cell_length_b 4.4448
_cell_length_c 2.9693
_cell_angle_alpha 90.00
_cell_angle_beta 90.00
_cell_angle_gamma 120.00
_symmetry_space_group_name_H-M 'P -6 m 2'
_symmetry_Int_Tables_number 187
_symmetry_space_group_name_Hall 'P -6 2'
loop_
_atom_site_label
_atom_site_type_symbol
_atom_site_fract_x
_atom_site_fract_y
_atom_site_fract_z
Re1 Re 0.0000 0.0000 0.0000
Te1 Te 0.3333 0.6667 0.0000
W1 W 0.6667 0.3333 0.5000

=====

Entry 8:
# Mn2TcRu, PBEsol geometry, DFT meta-GGA SCAN
# Density (kg/m3): 10635
# Total magnetic moment (μB/f.u.): 0.00
# Crystal system: orthorhombic
# Formation energy from the elements (meV/atom): 109.1
# DFT total energy (eV/atom): -26.490
# Fermi-level density of states (states/eV/atom): 0.84
data_Mn2TcRu
_chemical_formula_sum 'Mn4 Tc2 Ru2'
_cell_length_a 3.935
_cell_length_b 2.609
_cell_length_c 9.396
_cell_angle_alpha 90.00
_cell_angle_beta 90.00
_cell_angle_gamma 90.00
_symmetry_space_group_name_H-M 'A m m 2'
_symmetry_Int_Tables_number 38
_symmetry_space_group_name_Hall 'A 2 -2'
loop_
_atom_site_label
_atom_site_type_symbol
_atom_site_fract_x
_atom_site_fract_y
_atom_site_fract_z
Mn1 Mn 0.000 0.000 0.000
Mn2 Mn 0.500 0.000 0.114
Tc1 Tc 0.000 0.000 0.732
Ru1 Ru 0.500 0.000 0.385

=====

- Look up the density of the second one.
  12408 kg/m3

=====

- density of number 5 (BaMgCd3)?
  3323 kg/m3